1.
{"formula": "CdSO3", "functional": "GGA-PBE", "state": "relaxed", "lattice": [[4.3711, -6.5177, -2.1611], [4.0968, 4.2032, 5.6398], [-7.0881, -2.4716, 3.1476]], "species": ["S", "O", "S", "O", "O", "O", "O", "Cd", "O", "O", "O", "O", "Cd", "O", "S", "S", "Cd", "O", "Cd", "O", "O", "O", "Cd", "S", "O", "S", "O", "O", "O", "Cd"], "frac_coords": [[0.9763, 0.6519, 0.7916], [0.3026, 0.3623, 0.9755], [0.2084, 0.0237, 0.3481], [0.3623, 0.9755, 0.3026], [0.5808, 0.8731, 0.1230], [0.1269, 0.8770, 0.4192], [0.6974, 0.6377, 0.0245], [0.3601, 0.6746, 0.1856], [0.3437, 0.2289, 0.5404], [0.8731, 0.1230, 0.5808], [0.8770, 0.4192, 0.1269], [0.4192, 0.1269, 0.8770], [0.8144, 0.6399, 0.3254], [0.9755, 0.3026, 0.3623], [0.0237, 0.3481, 0.2084], [0.6519, 0.7916, 0.9763], [0.1856, 0.3601, 0.6746], [0.2289, 0.5404, 0.3437], [0.6399, 0.3254, 0.8144], [0.1230, 0.5808, 0.8731], [0.5404, 0.3437, 0.2289], [0.6377, 0.0245, 0.6974], [0.3254, 0.8144, 0.6399], [0.3481, 0.2084, 0.0237], [0.4596, 0.6563, 0.7711], [0.7916, 0.9763, 0.6519], [0.6563, 0.7711, 0.4596], [0.7711, 0.4596, 0.6563], [0.0245, 0.6974, 0.6377], [0.6746, 0.1856, 0.3601]]}

=====

2.
{"formula": "Cd2SO", "functional": "GGA-PBE", "state": "relaxed", "lattice": [[-3.5556, 0.0000, 0.0000], [0.0000, 0.0000, -5.8805], [-1.7778, -6.5566, 0.0000]], "species": ["O", "S", "Cd", "S", "O", "Cd", "Cd", "Cd"], "frac_coords": [[0.0000, 0.5000, 0.0000], [0.7813, 0.7500, 0.4374], [0.5694, 0.2500, 0.8612], [0.2187, 0.2500, 0.5626], [0.0000, 0.0000, 0.0000], [0.8585, 0.2500, 0.2830], [0.4306, 0.7500, 0.1388], [0.1415, 0.7500, 0.7170]]}

=====

3.
{"formula": "CdSO3", "functional": "GGA-PBE", "state": "relaxed", "lattice": [[-4.0587, 1.5382, 0.8526], [-2.6502, -7.9557, 1.7369], [2.3718, 0.6864, 6.7630]], "species": ["O", "O", "O", "S", "O", "Cd", "O", "Cd", "O", "O", "O", "O", "O", "S", "O", "Cd", "S", "O", "S", "Cd"], "frac_coords": [[0.2804, 0.3708, 0.5820], [0.7196, 0.8708, 0.9180], [0.2804, 0.1292, 0.0820], [0.7336, 0.5794, 0.2102], [0.9275, 0.3969, 0.8141], [0.7581, 0.2059, 0.0089], [0.6846, 0.4015, 0.2200], [0.2419, 0.7059, 0.4912], [0.0725, 0.8969, 0.6859], [0.0725, 0.6031, 0.1859], [0.3154, 0.5985, 0.7800], [0.3154, 0.9015, 0.2800], [0.7196, 0.6292, 0.4180], [0.2664, 0.4206, 0.7898], [0.6846, 0.0985, 0.7200], [0.2419, 0.7941, 0.9911], [0.2664, 0.0794, 0.2898], [0.9275, 0.1031, 0.3141], [0.7336, 0.9206, 0.7102], [0.7581, 0.2941, 0.5089]]}

=====

4.
{"formula": "Cd2SO", "functional": "GGA-PBE", "state": "relaxed", "lattice": [[-5.3602, -2.0724, 1.3674], [0.1126, -2.2542, -2.9748], [5.8342, -9.9629, 7.7703]], "species": ["S", "S", "Cd", "Cd", "O", "Cd", "Cd", "O", "O", "S", "Cd", "S", "O", "Cd", "Cd", "Cd"], "frac_coords": [[0.7647, 0.7500, 0.0652], [0.7353, 0.2500, 0.5652], [0.2062, 0.7500, 0.0850], [0.7062, 0.7500, 0.4151], [0.2807, 0.2500, 0.1722], [0.3419, 0.7500, 0.8184], [0.7938, 0.2500, 0.9151], [0.7807, 0.2500, 0.3278], [0.7193, 0.7500, 0.8278], [0.2353, 0.2500, 0.9348], [0.1581, 0.2500, 0.3184], [0.2647, 0.7500, 0.4348], [0.2193, 0.7500, 0.6722], [0.2938, 0.2500, 0.5850], [0.8419, 0.7500, 0.6816], [0.6581, 0.2500, 0.1816]]}

=====

5.
{"formula": "CdSnSO", "functional": "GGA-PBE", "state": "relaxed", "lattice": [[-4.9716, 0.9526, -3.3637], [0.9776, -2.7756, -2.2310], [-7.8633, -9.8656, 8.8280]], "species": ["Cd", "Cd", "Sn", "S", "S", "Sn", "O", "S", "Cd", "Sn", "O", "O", "Sn", "O", "Cd", "S"], "frac_coords": [[0.2141, 0.7500, 0.0721], [0.2859, 0.2500, 0.5721], [0.6510, 0.2500, 0.1799], [0.2144, 0.2500, 0.9322], [0.2856, 0.7500, 0.4322], [0.1510, 0.2500, 0.3201], [0.3332, 0.2500, 0.1350], [0.7144, 0.2500, 0.5678], [0.7141, 0.7500, 0.4279], [0.3490, 0.7500, 0.8201], [0.8332, 0.2500, 0.3650], [0.6668, 0.7500, 0.8650], [0.8490, 0.7500, 0.6799], [0.1668, 0.7500, 0.6350], [0.7859, 0.2500, 0.9279], [0.7856, 0.7500, 0.0678]]}

=====

6.
{"formula": "CdSnSO", "functional": "GGA-PBE", "state": "relaxed", "lattice": [[-2.9703, -0.2088, 2.6505], [1.6133, -3.3003, 1.5481], [5.9305, 6.2473, 7.1382]], "species": ["O", "Cd", "O", "S", "Sn", "Cd", "S", "Sn"], "frac_coords": [[0.2500, 0.2500, 0.4266], [0.7500, 0.2500, 0.0000], [0.7500, 0.7500, 0.5734], [0.2500, 0.2500, 0.1479], [0.2500, 0.2500, 0.6080], [0.2500, 0.7500, 0.0000], [0.7500, 0.7500, 0.8521], [0.7500, 0.7500, 0.3920]]}

=====

Number 1: energy -155.59 eV per cell, mass density 4.557 g/cm3. Number 2: energy -25.92 eV per cell, mass density 6.611 g/cm3. Number 3: energy -103.68 eV per cell, mass density 4.706 g/cm3. Number 4: energy -55.57 eV per cell, mass density 5.904 g/cm3. Number 5: energy -66.96 eV per cell, mass density 5.366 g/cm3. Number 6: energy -32.19 eV per cell, mass density 5.215 g/cm3.